(1)
! RbLa2SnTe (GGA-PBEsol, relaxed); values from VASP
! DOS(E_F) = 2.6 states/eV/cell
! Total magnetic moment = 0.00 Bohr magnetons per cell
! Electronic total energy = -20.35 eV/cell
! Crystal system = tetragonal
! SG = P4/mmm
&SYSTEM
  ibrav = 0, nat = 5, ntyp = 4
/
ATOMIC_SPECIES
Sn 118.71 Sn.upf
Te 127.60 Te.upf
La 138.91 La.upf
Rb 85.47 Rb.upf
CELL_PARAMETERS angstrom
-1.715 -0.019 5.706
-3.495 -4.706 -1.067
4.632 -3.753 1.380
ATOMIC_POSITIONS crystal
Sn 0.500 0.500 0.500
Te 0.000 0.000 0.000
La 0.000 0.500 0.000
La 0.500 0.000 0.000
Rb 0.000 0.000 0.500

(2)
! KLi2Co (GGA-PBEsol, relaxed); values from VASP
! ΔH_f (0 K) = 0.581 eV/atom
! DOS(E_F) = 4.7 states/eV/cell
! Total magnetic moment = 1.24 Bohr magnetons per cell
! Crystal system = monoclinic
! SG = Pm
! ΔE to the lowest computed polymorph = 0.000 eV per formula unit
&SYSTEM
  ibrav = 0, nat = 4, ntyp = 3
/
ATOMIC_SPECIES
K 39.10 K.upf
Li 6.94 Li.upf
Co 58.93 Co.upf
CELL_PARAMETERS angstrom
2.707 0.000 -0.051
0.000 4.327 0.000
-1.223 0.000 7.499
ATOMIC_POSITIONS crystal
K 0.173 0.500 0.710
Li 0.954 0.500 0.297
Li 0.866 0.000 0.100
Co 0.507 0.000 0.393

(3)
! CaNb2InB (GGA-PBEsol, relaxed); values from VASP
! ΔH_f (0 K) = 2.317 eV/atom
! DOS(E_F) = 5.6 states/eV/cell
! Total magnetic moment = 2.08 Bohr magnetons per cell
! Crystal system = tetragonal
! SG = P4/mmm
&SYSTEM
  ibrav = 0, nat = 5, ntyp = 4
/
ATOMIC_SPECIES
Nb 92.91 Nb.upf
Ca 40.08 Ca.upf
In 114.82 In.upf
B 10.81 B.upf
CELL_PARAMETERS angstrom
-1.698 -3.849 -2.829
3.228 -3.138 2.331
-3.736 -1.083 3.715
ATOMIC_POSITIONS crystal
Nb 0.000 0.500 0.000
Nb 0.500 0.000 0.000
Ca 0.000 0.000 0.500
In 0.000 0.000 0.000
B 0.500 0.500 0.500

(4)
! SrCo2Ir (GGA-PBEsol, relaxed); values from VASP
! ΔH_f (0 K) = 0.813 eV/atom
! DOS(E_F) = 6.5 states/eV/cell
! Total magnetic moment = 3.81 Bohr magnetons per cell
! Crystal system = tetragonal
! SG = I-4m2
&SYSTEM
  ibrav = 0, nat = 4, ntyp = 3
/
ATOMIC_SPECIES
Co 58.93 Co.upf
Ir 192.22 Ir.upf
Sr 87.62 Sr.upf
CELL_PARAMETERS angstrom
4.066 0.000 0.000
0.000 4.066 0.000
-2.033 -2.033 3.863
ATOMIC_POSITIONS crystal
Co 0.750 0.250 0.500
Co 0.000 0.000 0.000
Ir 0.500 0.500 0.000
Sr 0.250 0.750 0.500

(5)
! CuTe (GGA-PBEsol, relaxed); values from VASP
! DOS(E_F) = 2.5 states/eV/cell
! Total magnetic moment = 0.00 Bohr magnetons per cell
! Electronic total energy = -23.19 eV/cell
! Crystal system = monoclinic
! SG = Cm
&SYSTEM
  ibrav = 0, nat = 6, ntyp = 2
/
ATOMIC_SPECIES
Te 127.60 Te.upf
Cu 63.55 Cu.upf
CELL_PARAMETERS angstrom
4.066 0.000 0.000
-2.033 5.613 -0.040
0.000 -1.731 6.286
ATOMIC_POSITIONS crystal
Te 0.900 0.801 0.523
Te 0.043 0.086 0.156
Te 0.240 0.480 0.942
Cu 0.668 0.336 0.311
Cu 0.255 0.511 0.516
Cu 0.727 0.453 0.719

(6)
! Al3Ir (GGA-PBEsol, relaxed); values from VASP
! ΔH_f (0 K) = -0.656 eV/atom
! DOS(E_F) = 3.9 states/eV/cell
! Total magnetic moment = 0.00 Bohr magnetons per cell
! Crystal system = orthorhombic
! SG = Pnma
&SYSTEM
  ibrav = 0, nat = 16, ntyp = 2
/
ATOMIC_SPECIES
Al 26.98 Al.upf
Ir 192.22 Ir.upf
CELL_PARAMETERS angstrom
4.663 0.000 0.000
0.000 7.096 0.000
0.000 0.000 7.634
ATOMIC_POSITIONS crystal
Al 0.400 0.833 0.065
Al 0.600 0.167 0.565
Al 0.100 0.333 0.065
Al 0.934 0.987 0.250
Al 0.434 0.513 0.750
Al 0.066 0.013 0.750
Al 0.566 0.487 0.250
Al 0.900 0.667 0.935
Al 0.100 0.333 0.435
Al 0.400 0.833 0.435
Al 0.600 0.167 0.935
Al 0.900 0.667 0.565
Ir 0.558 0.866 0.750
Ir 0.058 0.634 0.250
Ir 0.442 0.134 0.250
Ir 0.942 0.366 0.750

(7)
! Sr2LiCu2 (GGA-PBEsol, relaxed); values from VASP
! ΔH_f (0 K) = 0.161 eV/atom
! DOS(E_F) = 3.1 states/eV/cell
! Total magnetic moment = 0.00 Bohr magnetons per cell
! Crystal system = tetragonal
! SG = I4/mmm
! ΔE to the lowest computed polymorph = 0.708 eV per formula unit
&SYSTEM
  ibrav = 0, nat = 5, ntyp = 3
/
ATOMIC_SPECIES
Cu 63.55 Cu.upf
Sr 87.62 Sr.upf
Li 6.94 Li.upf
CELL_PARAMETERS angstrom
5.724 -0.005 -0.007
-2.737 5.027 0.007
-2.737 -1.772 4.704
ATOMIC_POSITIONS crystal
Cu 0.000 0.353 0.353
Cu 0.000 0.647 0.647
Sr 0.500 0.750 0.250
Sr 0.500 0.250 0.750
Li 0.000 0.000 0.000

(8)
! MgRe2Mo (GGA-PBEsol, relaxed); values from VASP
! ΔH_f (0 K) = 0.440 eV/atom
! DOS(E_F) = 3.7 states/eV/cell
! Total magnetic moment = 0.00 Bohr magnetons per cell
! Crystal system = tetragonal
! SG = I-4m2
&SYSTEM
  ibrav = 0, nat = 4, ntyp = 3
/
ATOMIC_SPECIES
Re 186.21 Re.upf
Mg 24.30 Mg.upf
Mo 95.94 Mo.upf
CELL_PARAMETERS angstrom
-1.888 -1.737 2.892
-0.468 -3.147 -2.197
4.673 0.954 1.040
ATOMIC_POSITIONS crystal
Re 0.000 0.000 0.000
Re 0.750 0.250 0.500
Mg 0.500 0.500 0.000
Mo 0.250 0.750 0.500